1.
{"formula": "Er2CuBi", "functional": "GGA-PBE", "state": "relaxed", "space_group": "P2_1/m", "e_above_lowest_polymorph_kj_per_mol_atoms": 0.0, "dos_ef_per_ev_fu": 4.04, "lattice": [[4.198, 0.000, 0.000], [0.000, 6.134, -0.263], [0.000, -2.465, 7.920]], "species": ["Er", "Er", "Cu", "Bi", "Er", "Bi", "Cu", "Er"], "frac_coords": [[0.750, 0.676, 0.908], [0.750, 0.252, 0.445], [0.750, 0.624, 0.291], [0.250, 0.887, 0.211], [0.250, 0.748, 0.555], [0.750, 0.113, 0.789], [0.250, 0.376, 0.709], [0.250, 0.324, 0.092]]}

***

2.
{"formula": "Er6Cu2Bi", "functional": "GGA-PBE", "state": "relaxed", "space_group": "Immm", "final_energy_ev_per_atom": -4.66, "dos_ef_per_ev_fu": 7.87, "lattice": [[-5.180, -6.331, -2.385], [5.967, -2.269, 5.643], [-4.391, 6.082, 4.041]], "species": ["Cu", "Er", "Er", "Er", "Er", "Cu", "Er", "Er", "Cu", "Er", "Cu", "Bi", "Er", "Er", "Er", "Er", "Er", "Bi"], "frac_coords": [[0.500, 0.618, 0.118], [0.205, 0.770, 0.975], [0.205, 0.230, 0.435], [0.690, 0.370, 0.680], [0.104, 0.292, 0.812], [0.500, 0.382, 0.882], [0.896, 0.708, 0.188], [0.481, 0.292, 0.188], [0.644, 0.000, 0.644], [0.310, 0.630, 0.320], [0.356, 0.000, 0.356], [0.000, 0.500, 0.500], [0.310, 0.991, 0.680], [0.795, 0.230, 0.025], [0.795, 0.770, 0.565], [0.690, 0.009, 0.320], [0.519, 0.708, 0.812], [0.000, 0.000, 0.000]]}

***

3.
{"formula": "Er7Cu2Bi2", "functional": "GGA-PBE", "state": "relaxed", "space_group": "Imm2", "final_energy_ev_per_atom": -4.70, "dos_ef_per_ev_fu": 11.28, "lattice": [[4.008, 0.000, 0.000], [2.004, 9.108, -0.249], [2.004, 4.099, 8.137]], "species": ["Er", "Er", "Er", "Er", "Bi", "Er", "Cu", "Bi", "Er", "Er", "Cu"], "frac_coords": [[0.190, 0.710, 0.910], [0.143, 0.107, 0.607], [0.627, 0.481, 0.265], [0.810, 0.090, 0.290], [0.000, 0.767, 0.233], [0.500, 0.026, 0.974], [0.264, 0.330, 0.143], [0.500, 0.358, 0.642], [0.373, 0.735, 0.519], [0.857, 0.393, 0.893], [0.736, 0.857, 0.670]]}

***

4.
{"formula": "Er6CuBi3", "functional": "GGA-PBE", "state": "relaxed", "space_group": "Cmc2_1", "final_energy_ev_per_atom": -4.65, "dos_ef_per_ev_fu": 7.16, "lattice": [[6.571, 0.000, 0.000], [0.000, 9.798, -0.733], [0.000, -2.901, 9.388]], "species": ["Bi", "Er", "Bi", "Er", "Bi", "Cu", "Er", "Er", "Bi", "Bi", "Er", "Er", "Er", "Er", "Er", "Er", "Er", "Er", "Cu", "Bi"], "frac_coords": [[0.010, 0.713, 0.920], [0.578, 0.227, 0.369], [0.725, 0.569, 0.431], [0.729, 0.239, 0.761], [0.510, 0.920, 0.713], [0.593, 0.858, 0.142], [0.229, 0.761, 0.239], [0.805, 0.015, 0.985], [0.510, 0.287, 0.080], [0.010, 0.080, 0.287], [0.578, 0.631, 0.773], [0.305, 0.985, 0.015], [0.728, 0.897, 0.426], [0.228, 0.103, 0.574], [0.728, 0.574, 0.103], [0.078, 0.773, 0.631], [0.078, 0.369, 0.227], [0.228, 0.426, 0.897], [0.093, 0.142, 0.858], [0.225, 0.431, 0.569]]}

***

5.
{"formula": "Er8CuBi2", "functional": "GGA-PBE", "state": "relaxed", "space_group": "C2/m", "final_energy_ev_per_atom": -4.67, "dos_ef_per_ev_fu": 12.00, "lattice": [[5.095, 0.000, 0.000], [0.000, 6.676, 1.247], [-2.548, -1.217, 8.847]], "species": ["Er", "Er", "Bi", "Er", "Er", "Er", "Er", "Er", "Er", "Bi", "Cu"], "frac_coords": [[0.973, 0.757, 0.945], [0.650, 0.094, 0.300], [0.168, 0.830, 0.336], [0.027, 0.243, 0.055], [0.213, 0.368, 0.425], [0.350, 0.906, 0.700], [0.411, 0.427, 0.821], [0.589, 0.573, 0.179], [0.787, 0.632, 0.575], [0.832, 0.170, 0.664], [0.500, 0.000, 0.000]]}

***

6.
{"formula": "Er5Cu2Bi", "functional": "GGA-PBE", "state": "relaxed", "space_group": "I4/mcm", "final_energy_ev_per_atom": -4.72, "dos_ef_per_ev_fu": 8.01, "lattice": [[7.894, 0.000, 0.000], [0.000, 7.894, 0.000], [-3.947, -3.947, 6.461]], "species": ["Er", "Cu", "Er", "Er", "Er", "Er", "Er", "Cu", "Bi", "Cu", "Er", "Er", "Er", "Cu", "Bi", "Er"], "frac_coords": [[0.292, 0.792, 0.279], [0.367, 0.867, 0.000], [0.014, 0.514, 0.721], [0.000, 0.000, 0.000], [0.514, 0.708, 0.721], [0.986, 0.486, 0.279], [0.500, 0.500, 0.000], [0.633, 0.133, 0.000], [0.250, 0.250, 0.500], [0.133, 0.367, 0.000], [0.708, 0.208, 0.721], [0.208, 0.014, 0.721], [0.486, 0.292, 0.279], [0.867, 0.633, 0.000], [0.750, 0.750, 0.500], [0.792, 0.986, 0.279]]}